## BeHg3 (PBE)

Data for a relaxed structure of BeHg3.

Cell lengths 8.243, 8.243, 6.137 Å; angles 90.00, 90.00, 120.00 degrees
Fractional coordinates of all 16 atoms:
Be  0.000  0.000  0.000
Be  0.000  0.000  0.500
Be  0.333  0.667  0.250
Be  0.667  0.333  0.750
Hg  0.500  0.000  0.000
Hg  0.500  0.000  0.500
Hg  0.000  0.500  0.000
Hg  0.500  0.500  0.000
Hg  0.500  0.500  0.500
Hg  0.000  0.500  0.500
Hg  0.862  0.723  0.250
Hg  0.138  0.277  0.750
Hg  0.277  0.138  0.250
Hg  0.862  0.138  0.250
Hg  0.138  0.862  0.750
Hg  0.723  0.862  0.750

Values from the calculation:
* V: 361 Å³ per cell
* energy relative to the lowest polymorph listed for this composition: 0.160 eV/atom

---

## CrTe2Ru (PBE)

Data for a relaxed structure of CrTe2Ru.

Cell lengths 5.528, 5.528, 4.058 Å; angles 90.01, 90.01, 39.42 degrees
Last column: magnetic moment on the atom in μB.
Fractional coordinates of all 4 atoms:
Cr  0.541  0.541  0.375  3.07
Ru  0.714  0.714  0.875  -0.05
Te  0.978  0.978  0.875  -0.10
Te  0.266  0.266  0.375  -0.08

Values from the calculation:
* V: 79 Å³ per cell
* formation energy from raw total energies: 146 meV per atom
* energy relative to the lowest polymorph listed for this composition: 0.198 eV/atom

---

## NdThPt6 (PBE)

Data for a relaxed structure of NdThPt6.

Cell lengths 4.219, 4.219, 8.421 Å; angles 90.00, 90.00, 90.00 degrees
Fractional coordinates of all 8 atoms:
Nd  0.000  0.000  0.000
Th  0.000  0.000  0.500
Pt  0.500  0.500  0.000
Pt  0.500  0.500  0.500
Pt  0.500  0.000  0.252
Pt  0.500  0.000  0.748
Pt  0.000  0.500  0.252
Pt  0.000  0.500  0.748

Values from the calculation:
* V: 150 Å³ per cell
* raw total energy: -7.08 eV/atom

---

## CrCd2AuN (PBE)

Data for a relaxed structure of CrCd2AuN.

Cell lengths 5.282, 5.156, 5.282 Å; angles 90.00, 90.00, 90.00 degrees
Last column: magnetic moment on the atom in μB.
Fractional coordinates of all 5 atoms:
Cr  0.000  0.500  0.000  -4.05
N  0.500  0.500  0.500  1.60
Au  0.000  0.000  0.000  -0.05
Cd  0.000  0.000  0.500  0.03
Cd  0.500  0.000  0.000  0.03

Values from the calculation:
* V: 144 Å³ per cell
* formation energy from raw total energies: 1415 meV per atom

---

## LaTe2Mo (PBE)

Data for a relaxed structure of LaTe2Mo.

Cell lengths 4.405, 3.934, 6.211 Å; angles 81.41, 90.00, 90.00 degrees
Fractional coordinates of all 4 atoms:
La  0.500  0.250  0.250
Mo  0.500  0.750  0.750
Te  0.000  0.885  0.980
Te  0.000  0.615  0.520

Values from the calculation:
* V: 106 Å³ per cell
* formation energy from raw total energies: -277 meV per atom
* energy relative to the lowest polymorph listed for this composition: 0.236 eV/atom

---

## NbCd3O (PBE)

Data for a relaxed structure of NbCd3O.

Cell lengths 4.623, 4.623, 4.623 Å; angles 90.00, 90.00, 90.00 degrees
Last column: magnetic moment on the atom in μB.
Fractional coordinates of all 5 atoms:
Nb  0.500  0.500  0.500  1.89
O  0.000  0.000  0.000  0.30
Cd  0.000  0.500  0.000  0.05
Cd  0.000  0.000  0.500  0.01
Cd  0.500  0.000  0.000  0.04

Values from the calculation:
* V: 99 Å³ per cell
* formation energy from raw total energies: 324 meV per atom
* energy relative to the lowest polymorph listed for this composition: 0.000 eV/atom

---

## KSc2Pb2 (PBE)

Data for a relaxed structure of KSc2Pb2.

Cell lengths 5.061, 5.061, 7.408 Å; angles 70.03, 70.03, 90.00 degrees
Fractional coordinates of all 5 atoms:
Pb  0.374  0.374  0.252
Pb  0.626  0.626  0.748
Sc  0.750  0.250  0.500
Sc  0.250  0.750  0.500
K  0.000  0.000  0.000

Values from the calculation:
* V: 166 Å³ per cell
* energy relative to the lowest polymorph listed for this composition: 0.130 eV/atom

---

## TiGaPb2 (PBE)

Data for a relaxed structure of TiGaPb2.

Cell lengths 8.096, 8.096, 6.478 Å; angles 51.32, 51.32, 90.00 degrees
Fractional coordinates of all 8 atoms:
Pb  0.619  0.125  0.250
Pb  0.131  0.625  0.250
Pb  0.375  0.381  0.750
Pb  0.875  0.869  0.750
Ga  0.000  0.000  0.000
Ga  0.750  0.250  0.500
Ti  0.500  0.500  0.000
Ti  0.250  0.750  0.500

Values from the calculation:
* V: 199 Å³ per cell
* raw total energy: -4.21 eV/atom

---

## NaB3O5 (PBE)

Data for a relaxed structure of NaB3O5.

Cell lengths 9.182, 11.141, 12.233 Å; angles 90.00, 90.99, 90.00 degrees
Fractional coordinates of all 108 atoms:
Na  0.901  0.368  0.565
Na  0.099  0.632  0.435
Na  0.442  0.338  0.785
Na  0.901  0.132  0.065
Na  0.099  0.868  0.935
Na  0.112  0.409  0.921
Na  0.558  0.662  0.215
Na  0.442  0.162  0.285
Na  0.888  0.909  0.579
Na  0.558  0.838  0.715
Na  0.888  0.591  0.079
Na  0.112  0.091  0.421
B  0.145  0.330  0.141
B  0.784  0.459  0.347
B  0.296  0.621  0.835
B  0.253  0.343  0.536
B  0.646  0.396  0.965
B  0.859  0.258  0.290
B  0.488  0.222  0.581
B  0.855  0.830  0.359
B  0.354  0.604  0.035
B  0.704  0.379  0.165
B  0.820  0.458  0.813
B  0.354  0.896  0.535
B  0.774  0.617  0.675
B  0.253  0.157  0.036
B  0.704  0.121  0.665
B  0.784  0.041  0.847
B  0.820  0.042  0.313
B  0.296  0.879  0.335
B  0.141  0.742  0.710
B  0.488  0.278  0.081
B  0.216  0.541  0.653
B  0.180  0.542  0.187
B  0.747  0.657  0.464
B  0.774  0.883  0.175
B  0.512  0.778  0.419
B  0.646  0.104  0.465
B  0.141  0.758  0.210
B  0.512  0.722  0.919
B  0.226  0.383  0.325
B  0.145  0.170  0.641
B  0.747  0.843  0.964
B  0.859  0.242  0.790
B  0.180  0.958  0.687
B  0.226  0.117  0.825
B  0.216  0.959  0.153
B  0.855  0.670  0.859
O  0.282  0.522  0.753
O  0.675  0.426  0.859
O  0.797  0.498  0.698
O  0.108  0.447  0.120
O  0.725  0.663  0.580
O  0.797  0.002  0.198
O  0.726  0.069  0.555
O  0.725  0.837  0.080
O  0.325  0.926  0.641
O  0.153  0.845  0.129
O  0.847  0.155  0.871
O  0.817  0.215  0.685
O  0.521  0.176  0.478
O  0.892  0.947  0.380
O  0.801  0.537  0.431
O  0.561  0.318  0.172
O  0.325  0.574  0.141
O  0.282  0.978  0.253
O  0.801  0.963  0.931
O  0.275  0.163  0.920
O  0.200  0.296  0.243
O  0.274  0.569  0.945
O  0.614  0.690  0.404
O  0.275  0.337  0.420
O  0.132  0.253  0.559
O  0.847  0.345  0.371
O  0.718  0.478  0.247
O  0.868  0.747  0.441
O  0.203  0.502  0.302
O  0.108  0.053  0.620
O  0.199  0.463  0.569
O  0.800  0.704  0.757
O  0.085  0.648  0.183
O  0.718  0.022  0.747
O  0.868  0.753  0.941
O  0.726  0.431  0.055
O  0.153  0.655  0.629
O  0.439  0.818  0.328
O  0.892  0.553  0.880
O  0.439  0.682  0.828
O  0.915  0.352  0.817
O  0.200  0.204  0.743
O  0.386  0.310  0.596
O  0.199  0.037  0.069
O  0.183  0.785  0.315
O  0.085  0.852  0.683
O  0.203  0.998  0.802
O  0.561  0.182  0.672
O  0.183  0.715  0.815
O  0.817  0.285  0.185
O  0.479  0.676  0.022
O  0.521  0.324  0.978
O  0.479  0.824  0.522
O  0.614  0.810  0.904
O  0.915  0.148  0.317
O  0.675  0.074  0.359
O  0.132  0.247  0.059
O  0.386  0.190  0.096
O  0.800  0.796  0.257
O  0.274  0.931  0.445

Values from the calculation:
* V: 1251 Å³ per cell
* formation energy from raw total energies: -2399 meV per atom

---

## ErGeH (PBE)

Data for a relaxed structure of ErGeH.

Cell lengths 4.003, 3.973, 6.027 Å; angles 90.00, 109.37, 90.00 degrees
Fractional coordinates of all 6 atoms:
Er  0.264  0.115  0.993
Er  0.966  0.615  0.393
Ge  0.682  0.616  0.828
Ge  0.548  0.116  0.558
H  0.369  0.615  0.202
H  0.861  0.115  0.184

Values from the calculation:
* V: 90 Å³ per cell
* energy relative to the lowest polymorph listed for this composition: 0.000 eV/atom

---

## ZrHg2Cl (PBE)

Data for a relaxed structure of ZrHg2Cl.

Cell lengths 5.120, 5.120, 3.542 Å; angles 90.00, 90.00, 90.00 degrees
Fractional coordinates of all 4 atoms:
Cl  0.000  0.500  0.500
Hg  0.000  0.000  0.000
Hg  0.500  0.500  0.000
Zr  0.500  0.000  0.500

Values from the calculation:
* V: 93 Å³ per cell
* formation energy from raw total energies: -97 meV per atom
* energy relative to the lowest polymorph listed for this composition: 0.441 eV/atom

---

## CuTeIr2 (PBE)

Data for a relaxed structure of CuTeIr2.

Cell lengths 5.286, 5.286, 5.286 Å; angles 146.58, 126.70, 64.39 degrees
Fractional coordinates of all 4 atoms:
Cu  0.250  0.750  0.500
Ir  0.012  0.012  0.000
Ir  0.488  0.488  0.000
Te  0.750  0.250  0.500

Values from the calculation:
* V: 64 Å³ per cell
* formation energy from raw total energies: 450 meV per atom

---

## MoRu3 (PBE)

Data for a relaxed structure of MoRu3.

Cell lengths 2.738, 2.738, 7.697 Å; angles 90.00, 90.00, 90.00 degrees
Fractional coordinates of all 4 atoms:
Mo  0.000  0.000  0.000
Ru  0.000  0.000  0.500
Ru  0.500  0.500  0.257
Ru  0.500  0.500  0.743

Values from the calculation:
* V: 58 Å³ per cell
* energy relative to the lowest polymorph listed for this composition: 0.143 eV/atom

---

## Ac5Pt4S (PBE)

Data for a relaxed structure of Ac5Pt4S.

Cell lengths 4.368, 6.248, 11.689 Å; angles 105.50, 100.77, 90.00 degrees
Fractional coordinates of all 10 atoms:
Ac  0.604  0.104  0.208
Ac  0.801  0.301  0.602
Ac  0.199  0.699  0.398
Ac  0.000  0.500  0.000
Ac  0.396  0.896  0.792
Pt  0.402  0.402  0.803
Pt  0.799  0.799  0.598
Pt  0.201  0.201  0.402
Pt  0.598  0.598  0.197
S  0.000  0.000  0.000

Values from the calculation:
* V: 302 Å³ per cell
* formation energy from raw total energies: -1326 meV per atom

---

## FeRh3Au (PBE)

Data for a relaxed structure of FeRh3Au.

Cell lengths 4.422, 4.422, 4.422 Å; angles 90.00, 90.00, 90.00 degrees
Fractional coordinates of all 5 atoms:
Rh  0.000  0.500  0.000
Rh  0.000  0.000  0.500
Rh  0.500  0.000  0.000
Au  0.500  0.500  0.500
Fe  0.000  0.000  0.000

Values from the calculation:
* V: 86 Å³ per cell
* energy relative to the lowest polymorph listed for this composition: 0.000 eV/atom

---

## MgTlCr2 (PBE)

Data for a relaxed structure of MgTlCr2.

Cell lengths 7.347, 4.529, 3.631 Å; angles 89.87, 60.57, 127.89 degrees
Last column: magnetic moment on the atom in μB.
Fractional coordinates of all 4 atoms:
Cr  0.000  0.000  0.000  3.45
Cr  0.500  0.000  0.500  3.45
Mg  0.000  0.500  0.500  -0.03
Tl  0.500  0.500  0.000  -0.09

Values from the calculation:
* V: 74 Å³ per cell
* raw total energy: -5.27 eV/atom

---

## YHfH (PBE)

Data for a relaxed structure of YHfH.

Cell lengths 6.391, 6.391, 19.394 Å; angles 22.01, 22.01, 29.09 degrees
Fractional coordinates of all 6 atoms:
Y  0.699  0.699  0.400
Y  0.054  0.054  0.908
H  0.855  0.855  0.804
H  0.899  0.899  0.504
Hf  0.370  0.370  0.869
Hf  0.383  0.383  0.438

Values from the calculation:
* V: 111 Å³ per cell
* energy relative to the lowest polymorph listed for this composition: 0.090 eV/atom

---

## Rb3Ag4Sn2 (PBE)

Data for a relaxed structure of Rb3Ag4Sn2.

Cell lengths 4.951, 7.040, 9.739 Å; angles 107.08, 90.00, 110.59 degrees
Fractional coordinates of all 9 atoms:
Rb  0.369  0.738  0.624
Rb  0.000  0.000  0.000
Rb  0.631  0.262  0.376
Ag  0.755  0.509  0.080
Ag  0.081  0.163  0.638
Ag  0.919  0.837  0.362
Ag  0.245  0.491  0.920
Sn  0.329  0.658  0.225
Sn  0.671  0.342  0.775

Values from the calculation:
* V: 302 Å³ per cell
* raw total energy: -2.54 eV/atom

---

## Ba3Na2Tl2Hg4 (PBE)

Data for a relaxed structure of Ba3Na2Tl2Hg4.

Cell lengths 5.290, 5.290, 16.239 Å; angles 90.00, 90.00, 120.00 degrees
Fractional coordinates of all 11 atoms:
Ba  0.000  0.000  0.738
Ba  0.000  0.000  0.000
Ba  0.000  0.000  0.262
Na  0.667  0.333  0.439
Na  0.333  0.667  0.561
Tl  0.667  0.333  0.867
Tl  0.333  0.667  0.133
Hg  0.667  0.333  0.124
Hg  0.333  0.667  0.876
Hg  0.667  0.333  0.635
Hg  0.333  0.667  0.365

Values from the calculation:
* V: 394 Å³ per cell
* raw total energy: -1.66 eV/atom

---

## Ba3MgSn (PBE)

Data for a relaxed structure of Ba3MgSn.

Cell lengths 8.995, 8.556, 11.578 Å; angles 78.05, 90.00, 90.00 degrees
Fractional coordinates of all 20 atoms:
Ba  0.990  0.797  0.265
Ba  0.010  0.203  0.735
Ba  0.490  0.203  0.235
Ba  0.510  0.797  0.765
Ba  0.532  0.733  0.379
Ba  0.468  0.267  0.621
Ba  0.032  0.267  0.121
Ba  0.968  0.733  0.879
Ba  0.149  0.655  0.594
Ba  0.851  0.345  0.406
Ba  0.649  0.345  0.906
Ba  0.351  0.655  0.094
Mg  0.182  0.068  0.458
Mg  0.818  0.932  0.542
Mg  0.682  0.932  0.042
Mg  0.318  0.068  0.958
Sn  0.733  0.570  0.124
Sn  0.267  0.430  0.876
Sn  0.233  0.430  0.376
Sn  0.767  0.570  0.624

Values from the calculation:
* V: 872 Å³ per cell
* energy relative to the lowest polymorph listed for this composition: 0.000 eV/atom